BaCoPO | the Open Quantum Materials Database | GGA+U | relaxed; magnetic moment = 0.88 μB per formula unit; relative energy among the computed polymorphs = 0.00 kcal/mol of atoms; volume = 19.82 Å³ per atom
1.0
2.870 -2.870 0.000
2.870 2.870 0.000
0.000 0.000 9.626
O Ba P Co
2 2 2 2
Cartesian
2.870 1.435 0.000 O
2.870 -1.435 0.000 O
4.305 0.000 8.140 Ba
1.435 0.000 1.485 Ba
4.305 0.000 3.924 P
1.435 0.000 5.702 P
2.870 -1.435 4.813 Co
2.870 1.435 4.813 Co